# ZnAs2WBr | the Alexandria database | PBE-GGA | optimized geometry
# Magnetization, μB per cell: 2.89
# ΔE to the lowest computed polymorph, meV/atom: 872.2
# Formation energy without anion corrections, meV per atom: 1363
data_ZnAs2WBr
_chemical_formula_sum 'Zn1 As2 W1 Br1'
_space_group_name_H-M_alt 'P 4/m m m'
_space_group_IT_number 123
_space_group_name_Hall '-P 4 2'
_cell_length_a 4.7335
_cell_length_b 4.7335
_cell_length_c 5.0846
_cell_angle_alpha 90.00
_cell_angle_beta 90.00
_cell_angle_gamma 90.00
loop_
_atom_site_label
_atom_site_type_symbol
_atom_site_fract_x
_atom_site_fract_y
_atom_site_fract_z
Zn1 Zn 0.0000 0.0000 0.0000
As1 As 0.0000 0.5000 0.0000
W1 W 0.5000 0.5000 0.5000
Br1 Br 0.0000 0.0000 0.5000


# Tl2SbPb | the Alexandria database | PBE-GGA | optimized geometry
# Magnetization, μB per cell: 0.00
# ΔE to the lowest computed polymorph, meV/atom: 39.5
# Formation energy without anion corrections, meV per atom: 37
data_Tl2SbPb
_chemical_formula_sum 'Tl2 Sb1 Pb1'
_space_group_name_H-M_alt 'P 1 2/m 1'
_space_group_IT_number 10
_cell_length_a 3.3649
_cell_length_b 5.5046
_cell_length_c 6.6817
_cell_angle_alpha 90.00
_cell_angle_beta 96.43
_cell_angle_gamma 90.00
loop_
_space_group_symop_operation_xyz
'x,y,z'
'-x,-y,-z'
'-x,y,-z'
'x,-y,z'
loop_
_atom_site_label
_atom_site_type_symbol
_atom_site_fract_x
_atom_site_fract_y
_atom_site_fract_z
Tl1 Tl 0.0425 0.0000 0.2548
Sb1 Sb 0.5000 0.5000 0.5000
Pb1 Pb 0.5000 0.5000 0.0000


# RbScTl2F6 | the Alexandria database | PBE-GGA | optimized geometry
# Magnetization, μB per cell: 0.00
# Formation energy without anion corrections, meV per atom: -2891
data_RbScTl2F6
_chemical_formula_sum 'Rb2 Sc2 Tl4 F12'
_space_group_name_H-M_alt 'P 1 21/c 1'
_space_group_IT_number 14
_cell_length_a 6.3146
_cell_length_b 6.8825
_cell_length_c 11.1991
_cell_angle_alpha 90.00
_cell_angle_beta 123.78
_cell_angle_gamma 90.00
loop_
_space_group_symop_operation_xyz
'x,y,z'
'-x,-y,-z'
'-x,y+1/2,-z+1/2'
'x,-y+1/2,z+1/2'
loop_
_atom_site_label
_atom_site_type_symbol
_atom_site_fract_x
_atom_site_fract_y
_atom_site_fract_z
Rb1 Rb 0.0000 0.0000 0.0000
Sc1 Sc 0.5000 0.0000 0.5000
Tl1 Tl 0.2274 0.0387 0.7362
F1 F 0.2012 0.1544 0.4767
F2 F 0.2710 0.7409 0.9290
F3 F 0.3823 0.0653 0.2929


Q: formation energy without anion corrections of number 2 (Tl2SbPb)?
A: 37 meV per atom